Computed, not measured: crystalline Tl2InP at its relaxed geometry at the GGA-PBEsol level of DFT.

abc: 5.0466 5.0466 6.1634
angles: 109.57 109.57 45.33
Fractional coordinates of all 4 atoms:
Tl: 0.0000 0.0000 0.0000
Tl: 0.2104 0.2104 0.6904
In: 0.7823 0.7823 0.2885
P: 0.4952 0.4952 0.3868

Formation enthalpy at 0 K: 131 meV per atom
Symmetry: Cm
Polymorph energy (0 for the lowest one): 0.00 kcal/mol of atoms